Material: DyThGa2Ni2
Method: DFT, PBE-GGA
State: optimized geometry

The total moment is 0.000 μB/f.u. Its space group is P-3m1. As for the formation energy: -0.58 eV/atom.

POSCAR file:
```
DyThGa2Ni2
1.0
4.308 0.000 0.000
-2.154 3.731 0.000
0.000 0.000 7.241
Dy Th Ga Ni
1 1 2 2
Direct
0.000 0.000 0.000
0.000 0.000 0.500
0.333 0.667 0.767
0.667 0.333 0.233
0.333 0.667 0.244
0.667 0.333 0.756
```